Run A
## Hf4NbFe (PBE)

Data for a relaxed structure of Hf4NbFe.

Calculated values
Space group: No. 12
DOS at the Fermi energy (states/eV per cell): 5.80
Calculated volume (Å³/f.u.): 123

POSCAR file:
```
Hf4NbFe
1.0
3.072 0.000 0.600
1.341 4.892 1.298
-0.005 0.019 8.193
Hf Fe Nb
4 1 1
direct
0.623 0.622 0.132
0.168 0.988 0.676
0.832 0.012 0.324
0.377 0.378 0.868
0.000 0.000 0.000
0.500 0.500 0.500
```

=====

Run B
## Hf4NbFe (PBE)

Data for a relaxed structure of Hf4NbFe.

Calculated values
Space group: No. 123
DOS at the Fermi energy (states/eV per cell): 6.47
Calculated volume (Å³/f.u.): 130

POSCAR file:
```
Hf4NbFe
1.0
-3.468 2.567 0.975
-2.742 -3.317 -1.022
0.206 -2.117 6.313
Hf Fe Nb
4 1 1
direct
0.501 0.997 0.727
0.001 0.497 0.727
0.001 0.497 0.269
0.501 0.997 0.269
0.001 0.997 0.498
0.501 0.497 0.998
```

=====

Energies relative to the minimum, meV/atom: run A 0; run B 154

=====

Run A
## Hf3NbFe (PBE)

Data for a relaxed structure of Hf3NbFe.

Calculated values
Space group: No. 221
DOS at the Fermi energy (states/eV per cell): 13.35
Calculated volume (Å³/f.u.): 123

POSCAR file:
```
Hf3NbFe
1.0
4.967 0.000 0.000
0.000 4.967 0.000
0.000 0.000 4.967
Hf Nb Fe
3 1 1
direct
0.000 0.000 0.500
0.000 0.500 0.000
0.500 0.000 0.000
0.000 0.000 0.000
0.500 0.500 0.500
```

=====

Run B
## Hf3NbFe (PBE)

Data for a relaxed structure of Hf3NbFe.

Calculated values
Space group: No. 221
DOS at the Fermi energy (states/eV per cell): 4.38
Calculated volume (Å³/f.u.): 106

POSCAR file:
```
Hf3NbFe
1.0
-4.578 -0.396 1.121
0.228 -4.670 -0.719
1.167 -0.642 4.539
Hf Nb Fe
3 1 1
direct
0.000 0.500 0.000
0.500 0.000 0.000
0.000 0.000 0.500
0.500 0.500 0.500
0.000 0.000 0.000
```

=====

Energies relative to the minimum, meV/atom: run A 1138; run B 0

=====

Run A
## HfFe2Ni2 (PBE)

Data for a relaxed structure of HfFe2Ni2.

Calculated values
Space group: No. 127
DOS at the Fermi energy (states/eV per cell): 12.61
Calculated volume (Å³/f.u.): 66

POSCAR file:
```
HfFe2Ni2
1.0
6.955 0.000 0.000
0.000 6.955 0.000
0.000 0.000 2.739
Fe Hf Ni
4 2 4
direct
0.331 0.169 0.500
0.169 0.669 0.500
0.831 0.331 0.500
0.669 0.831 0.500
0.000 0.000 0.000
0.500 0.500 0.000
0.374 0.874 0.000
0.874 0.626 0.000
0.126 0.374 0.000
0.626 0.126 0.000
```

=====

Run B
## HfFe2Ni2 (PBE)

Data for a relaxed structure of HfFe2Ni2.

Calculated values
Space group: No. 139
DOS at the Fermi energy (states/eV per cell): 5.01
Calculated volume (Å³/f.u.): 68

POSCAR file:
```
HfFe2Ni2
1.0
3.629 0.000 0.000
0.000 3.629 0.000
1.815 1.815 5.190
Fe Ni Hf
2 2 1
direct
0.394 0.394 0.212
0.606 0.606 0.788
0.250 0.750 0.500
0.750 0.250 0.500
0.000 0.000 0.000
```

=====

Run C
## HfFe2Ni2 (PBE)

Data for a relaxed structure of HfFe2Ni2.

Calculated values
Space group: No. 127
DOS at the Fermi energy (states/eV per cell): 10.33
Calculated volume (Å³/f.u.): 66

POSCAR file:
```
HfFe2Ni2
1.0
7.028 0.000 0.000
0.000 7.028 0.000
0.000 0.000 2.660
Fe Hf Ni
4 2 4
direct
0.119 0.381 0.000
0.881 0.619 0.000
0.381 0.881 0.000
0.619 0.119 0.000
0.000 0.000 0.000
0.500 0.500 0.000
0.825 0.325 0.500
0.675 0.825 0.500
0.325 0.175 0.500
0.175 0.675 0.500
```

=====

Energies relative to the minimum, meV/atom: run A 6; run B 0; run C 14

=====

Run A
## Hf4FeNi (PBE)

Data for a relaxed structure of Hf4FeNi.

Calculated values
Space group: No. 109
DOS at the Fermi energy (states/eV per cell): 15.59
Calculated volume (Å³/f.u.): 127

POSCAR file:
```
Hf4FeNi
1.0
6.963 -0.442 0.000
-3.217 6.192 0.000
-1.873 -2.875 6.075
Hf Fe Ni
8 2 2
direct
0.753 0.482 0.729
0.248 0.946 0.697
0.301 0.498 0.803
0.232 0.003 0.229
0.248 0.551 0.303
0.774 0.003 0.771
0.753 0.024 0.271
0.696 0.498 0.197
0.777 0.777 0.000
0.527 0.027 0.500
0.220 0.220 0.000
0.970 0.470 0.500
```

=====

Run B
## Hf4FeNi (PBE)

Data for a relaxed structure of Hf4FeNi.

Calculated values
Space group: No. 97
DOS at the Fermi energy (states/eV per cell): 6.25
Calculated volume (Å³/f.u.): 109

POSCAR file:
```
Hf4FeNi
1.0
-3.183 1.190 3.975
-1.666 -3.750 -3.242
4.421 -1.783 2.150
Hf Fe Ni
4 1 1
direct
0.425 0.575 0.500
0.925 0.425 0.850
0.575 0.075 0.150
0.075 0.925 0.500
0.000 0.000 0.000
0.500 0.500 0.000
```

=====

Energies relative to the minimum, meV/atom: run A 413; run B 0

=====

Run A
## HfFeNi3 (PBE)

Data for a relaxed structure of HfFeNi3.

Calculated values
Space group: No. 221
DOS at the Fermi energy (states/eV per cell): 8.58
Calculated volume (Å³/f.u.): 89

POSCAR file:
```
HfFeNi3
1.0
-1.351 -4.218 -0.601
3.165 -1.415 2.821
-2.852 0.427 3.414
Hf Fe Ni
1 1 3
direct
0.000 0.000 0.000
0.500 0.500 0.500
0.000 0.000 0.500
0.500 0.000 0.000
0.000 0.500 0.000
```

=====

Run B
## HfFeNi3 (PBE)

Data for a relaxed structure of HfFeNi3.

Calculated values
Space group: No. 221
DOS at the Fermi energy (states/eV per cell): 4.90
Calculated volume (Å³/f.u.): 77

POSCAR file:
```
HfFeNi3
1.0
4.253 0.000 0.000
0.000 4.253 0.000
0.000 0.000 4.253
Fe Hf Ni
1 1 3
direct
0.000 0.000 0.000
0.500 0.500 0.500
0.000 0.000 0.500
0.500 0.000 0.000
0.000 0.500 0.000
```

=====

Energies relative to the minimum, meV/atom: run A 1059; run B 0